First-principles (GGA-PBE) data for a relaxed structure of MnCr3Ge, as listed in the Alexandria database.

Properties
Energy relative to the elements ... 1648 meV per atom
Final energy ... -6.88 eV per atom
Volume ... 16.61 A^3/atom
Theoretical density ... 5.67 g cm⁻³

Unit cell a=4.3628 b=4.3628 c=4.3628 alpha=90.00 beta=90.00 gamma=90.00
Positions (direct):
1 Mn 0.0000 0.0000 0.0000
2 Cr 0.0000 0.5000 0.5000
3 Cr 0.5000 0.0000 0.5000
4 Cr 0.5000 0.5000 0.0000
5 Ge 0.5000 0.5000 0.5000